Record 1
## InP2Se (PBEsol)

Data for a relaxed structure of InP2Se.

Properties
- Crystal system: orthorhombic
- Offset from the most stable computed form: 0.00 kcal/mol of atoms
- ΔE_f (raw): -20.4 meV per atom

```
data_InP2Se
_cell_length_a 3.659
_cell_length_b 5.392
_cell_length_c 7.887
_cell_angle_alpha 90.00
_cell_angle_beta 90.00
_cell_angle_gamma 90.00
_symmetry_space_group_name_H-M 'A m m 2'
_symmetry_Int_Tables_number 38
_symmetry_space_group_name_Hall 'A 2 -2'
loop_
_atom_site_label
_atom_site_type_symbol
_atom_site_fract_x
_atom_site_fract_y
_atom_site_fract_z
In1 In 0.000 0.000 0.000
P1 P 0.000 0.000 0.539
P2 P 0.500 0.000 0.727
Se1 Se 0.500 0.000 0.258
```

***

Record 2
## InP2Se (PBEsol)

Data for a relaxed structure of InP2Se.

Properties
- Crystal system: orthorhombic
- Offset from the most stable computed form: 10.39 kcal/mol of atoms
- ΔE_f (raw): 430.2 meV per atom

```
data_InP2Se
_cell_length_a 3.637
_cell_length_b 3.722
_cell_length_c 5.860
_cell_angle_alpha 90.00
_cell_angle_beta 90.00
_cell_angle_gamma 90.00
_symmetry_space_group_name_H-M 'P m m m'
_symmetry_Int_Tables_number 47
_symmetry_space_group_name_Hall '-P 2 2'
loop_
_atom_site_label
_atom_site_type_symbol
_atom_site_fract_x
_atom_site_fract_y
_atom_site_fract_z
In1 In 0.000 0.000 0.000
P1 P 0.000 0.500 0.500
P2 P 0.500 0.500 0.000
Se1 Se 0.500 0.000 0.500
```

***

Record 3
## InP2Se (PBEsol)

Data for a relaxed structure of InP2Se.

Properties
- Crystal system: cubic
- Offset from the most stable computed form: 11.12 kcal/mol of atoms
- ΔE_f (raw): 461.9 meV per atom

```
data_InP2Se
_cell_length_a 6.607
_cell_length_b 6.607
_cell_length_c 6.607
_cell_angle_alpha 90.00
_cell_angle_beta 90.00
_cell_angle_gamma 90.00
_symmetry_space_group_name_H-M 'F -4 3 m'
_symmetry_Int_Tables_number 216
_symmetry_space_group_name_Hall 'F -4 2 3'
loop_
_atom_site_label
_atom_site_type_symbol
_atom_site_fract_x
_atom_site_fract_y
_atom_site_fract_z
In1 In 0.000 0.000 0.000
P1 P 0.000 0.000 0.500
P2 P 0.250 0.250 0.750
Se1 Se 0.250 0.250 0.250
```

***

Record 4
## InP2Se (PBEsol)

Data for a relaxed structure of InP2Se.

Properties
- Crystal system: monoclinic
- Offset from the most stable computed form: 6.34 kcal/mol of atoms
- ΔE_f (raw): 254.5 meV per atom

```
data_InP2Se
_cell_length_a 7.465
_cell_length_b 7.466
_cell_length_c 2.818
_cell_angle_alpha 90.00
_cell_angle_beta 91.20
_cell_angle_gamma 90.00
_symmetry_space_group_name_H-M 'C 1 2/m 1'
_symmetry_Int_Tables_number 12
_symmetry_space_group_name_Hall '-C 2y'
loop_
_atom_site_label
_atom_site_type_symbol
_atom_site_fract_x
_atom_site_fract_y
_atom_site_fract_z
In1 In 0.000 0.000 0.000
P1 P 0.250 0.250 0.000
Se1 Se 0.000 0.500 0.000
```

***

Record 5
## InP3Se (PBEsol)

Data for a relaxed structure of InP3Se.

Properties
- Crystal system: cubic
- ΔE_f (raw): 887.4 meV per atom

```
data_InP3Se
_cell_length_a 4.727
_cell_length_b 4.727
_cell_length_c 4.727
_cell_angle_alpha 90.00
_cell_angle_beta 90.00
_cell_angle_gamma 90.00
_symmetry_space_group_name_H-M 'P m -3 m'
_symmetry_Int_Tables_number 221
_symmetry_space_group_name_Hall '-P 4 2 3'
loop_
_atom_site_label
_atom_site_type_symbol
_atom_site_fract_x
_atom_site_fract_y
_atom_site_fract_z
In1 In 0.000 0.000 0.000
P1 P 0.000 0.500 0.500
Se1 Se 0.500 0.500 0.500
```

***

Record 6
## InP2Se (PBEsol)

Data for a relaxed structure of InP2Se.

Properties
- Crystal system: tetragonal
- Offset from the most stable computed form: 9.59 kcal/mol of atoms
- ΔE_f (raw): 395.6 meV per atom

```
data_InP2Se
_cell_length_a 3.879
_cell_length_b 3.879
_cell_length_c 5.445
_cell_angle_alpha 90.00
_cell_angle_beta 90.00
_cell_angle_gamma 90.00
_symmetry_space_group_name_H-M 'P 4/m m m'
_symmetry_Int_Tables_number 123
_symmetry_space_group_name_Hall '-P 4 2'
loop_
_atom_site_label
_atom_site_type_symbol
_atom_site_fract_x
_atom_site_fract_y
_atom_site_fract_z
In1 In 0.000 0.000 0.000
P1 P 0.500 0.500 0.197
Se1 Se 0.000 0.000 0.500
```